CrTePCl2: relaxed, PBE-GGA.

abc: 5.391 5.391 5.038
angles: 90.00 90.00 90.00
Element x y z (fractional)
Cr1 0.000 0.000 0.000
Te1 0.500 0.500 0.500
P1 0.500 0.500 0.000
Cl1 0.000 0.500 0.500
Cl2 0.500 0.000 0.500

Calculated values
DOS at the Fermi energy, states/eV/cell: 3.99
Total energy, eV/atom: -3.73
Spin magnetization, μB/f.u.: 4.80
Offset from the most stable computed form, eV/atom: 0.465
Formation energy (no corrections), eV per atom: 0.644
Volume, Å³ per cell: 146.4

---

TiCrP2Cl: relaxed, PBE-GGA.

abc: 4.750 4.750 4.562
angles: 90.00 90.00 90.00
Element x y z (fractional)
Ti1 0.000 0.000 0.000
Cr1 0.500 0.500 0.500
P1 0.000 0.500 0.000
P2 0.500 0.000 0.000
Cl1 0.000 0.000 0.500

Calculated values
DOS at the Fermi energy, states/eV/cell: 6.67
Total energy, eV/atom: -5.37
Spin magnetization, μB/f.u.: 0.08
Offset from the most stable computed form, eV/atom: 0.413
Formation energy (no corrections), eV per atom: 0.663
Volume, Å³ per cell: 102.9

---

TiCrPCl2: relaxed, PBE-GGA.

abc: 4.530 4.530 5.031
angles: 90.00 90.00 90.00
Element x y z (fractional)
Ti1 0.000 0.000 0.000
Cr1 0.500 0.500 0.500
P1 0.500 0.500 0.000
Cl1 0.000 0.500 0.500
Cl2 0.500 0.000 0.500

Calculated values
DOS at the Fermi energy, states/eV/cell: 7.86
Total energy, eV/atom: -5.20
Spin magnetization, μB/f.u.: 3.27
Offset from the most stable computed form, eV/atom: 0.325
Formation energy (no corrections), eV per atom: 0.120
Volume, Å³ per cell: 103.2

---

TiCrPCl2: relaxed, PBE-GGA.

abc: 4.655 4.655 5.034
angles: 90.00 90.00 90.00
Element x y z (fractional)
Ti1 0.000 0.000 0.000
Cr1 0.500 0.500 0.500
P1 0.000 0.000 0.500
Cl1 0.000 0.500 0.000
Cl2 0.500 0.000 0.000

Calculated values
DOS at the Fermi energy, states/eV/cell: 4.06
Total energy, eV/atom: -5.53
Spin magnetization, μB/f.u.: 4.77
Offset from the most stable computed form, eV/atom: 0.000
Formation energy (no corrections), eV per atom: -0.205
Volume, Å³ per cell: 109.1

---

TiCrP2Cl: relaxed, PBE-GGA.

abc: 4.495 4.495 4.701
angles: 90.00 90.00 90.00
Element x y z (fractional)
Ti1 0.000 0.000 0.000
Cr1 0.500 0.500 0.500
P1 0.000 0.500 0.500
P2 0.500 0.000 0.500
Cl1 0.500 0.500 0.000

Calculated values
DOS at the Fermi energy, states/eV/cell: 4.99
Total energy, eV/atom: -5.79
Spin magnetization, μB/f.u.: 3.71
Offset from the most stable computed form, eV/atom: 0.000
Formation energy (no corrections), eV per atom: 0.250
Volume, Å³ per cell: 95.0

---

TlCrPCl2: relaxed, PBE-GGA.

abc: 5.046 5.046 4.640
angles: 90.00 90.00 90.00
Element x y z (fractional)
Tl1 0.000 0.000 0.000
Cr1 0.500 0.500 0.500
P1 0.500 0.500 0.000
Cl1 0.000 0.500 0.500
Cl2 0.500 0.000 0.500

Calculated values
DOS at the Fermi energy, states/eV/cell: 1.00
Total energy, eV/atom: -4.60
Spin magnetization, μB/f.u.: 2.00
Offset from the most stable computed form, eV/atom: 0.000
Formation energy (no corrections), eV per atom: -0.381
Volume, Å³ per cell: 118.1

---

TlCrP2Cl: relaxed, PBE-GGA.

abc: 4.465 4.465 5.562
angles: 90.00 90.00 90.00
Element x y z (fractional)
Tl1 0.000 0.000 0.000
Cr1 0.500 0.500 0.500
P1 0.000 0.500 0.500
P2 0.500 0.000 0.500
Cl1 0.500 0.500 0.000

Calculated values
DOS at the Fermi energy, states/eV/cell: 2.67
Total energy, eV/atom: -4.93
Spin magnetization, μB/f.u.: 1.41
Offset from the most stable computed form, eV/atom: 0.000
Formation energy (no corrections), eV per atom: 0.004
Volume, Å³ per cell: 110.9

---

TlCrP2Cl: relaxed, PBE-GGA.

abc: 5.118 5.118 5.377
angles: 90.00 90.00 90.00
Element x y z (fractional)
Tl1 0.000 0.000 0.000
Cr1 0.500 0.500 0.500
P1 0.000 0.500 0.000
P2 0.500 0.000 0.000
Cl1 0.000 0.000 0.500

Calculated values
DOS at the Fermi energy, states/eV/cell: 3.84
Total energy, eV/atom: -3.81
Spin magnetization, μB/f.u.: 3.14
Offset from the most stable computed form, eV/atom: 1.116
Formation energy (no corrections), eV per atom: 1.120
Volume, Å³ per cell: 140.9

---

TlCrPCl2: relaxed, PBE-GGA.

abc: 5.369 5.369 5.240
angles: 90.00 90.00 90.00
Element x y z (fractional)
Tl1 0.000 0.000 0.000
Cr1 0.500 0.500 0.500
P1 0.000 0.000 0.500
Cl1 0.000 0.500 0.000
Cl2 0.500 0.000 0.000

Calculated values
DOS at the Fermi energy, states/eV/cell: 2.58
Total energy, eV/atom: -3.67
Spin magnetization, μB/f.u.: 3.57
Offset from the most stable computed form, eV/atom: 0.931
Formation energy (no corrections), eV per atom: 0.549
Volume, Å³ per cell: 151.0

---

VCrP2Cl: relaxed, PBE-GGA.

abc: 4.462 4.462 4.680
angles: 90.00 90.00 90.00
Element x y z (fractional)
V1 0.000 0.000 0.000
Cr1 0.500 0.500 0.500
P1 0.000 0.500 0.500
P2 0.500 0.000 0.500
Cl1 0.500 0.500 0.000

Calculated values
DOS at the Fermi energy, states/eV/cell: 5.25
Total energy, eV/atom: -5.59
Spin magnetization, μB/f.u.: 1.75
Offset from the most stable computed form, eV/atom: 0.000
Formation energy (no corrections), eV per atom: 0.689
Volume, Å³ per cell: 93.2

---

VCrP2Cl: relaxed, PBE-GGA.

abc: 4.510 4.510 4.938
angles: 90.00 90.00 90.00
Element x y z (fractional)
V1 0.000 0.000 0.000
Cr1 0.500 0.500 0.500
P1 0.000 0.500 0.000
P2 0.500 0.000 0.000
Cl1 0.000 0.000 0.500

Calculated values
DOS at the Fermi energy, states/eV/cell: 6.04
Total energy, eV/atom: -5.46
Spin magnetization, μB/f.u.: 0.57
Offset from the most stable computed form, eV/atom: 0.127
Formation energy (no corrections), eV per atom: 0.817
Volume, Å³ per cell: 100.4

---

VCr2PCl: relaxed, PBE-GGA.

abc: 4.782 4.782 4.401
angles: 90.00 90.00 90.00
Element x y z (fractional)
V1 0.000 0.000 0.000
Cr1 0.000 0.500 0.000
Cr2 0.500 0.000 0.000
P1 0.000 0.000 0.500
Cl1 0.500 0.500 0.500

Calculated values
DOS at the Fermi energy, states/eV/cell: 4.13
Total energy, eV/atom: -6.29
Spin magnetization, μB/f.u.: 5.41
Formation energy (no corrections), eV per atom: 0.837
Volume, Å³ per cell: 100.6